A crystal of LiLa2Cu relaxed with PBEsol. Source: Alexandria via LeMat-Bulk, functional meta-GGA SCAN.

Volume (Å³ per atom): 24.52
Formation enthalpy at 0 K (meV/atom): 8.4
Final energy (eV/atom): -25.941
Space group: Fm-3m, No. 225

The structure in CIF format:
```
data_LiLa2Cu
_cell_length_a 5.177
_cell_length_b 5.177
_cell_length_c 5.177
_cell_angle_alpha 60.00
_cell_angle_beta 60.00
_cell_angle_gamma 60.00
_symmetry_space_group_name_H-M 'P 1'
_symmetry_Int_Tables_number 1
loop_
_symmetry_equiv_pos_as_xyz
'x,y,z'
loop_
_atom_site_label
_atom_site_type_symbol
_atom_site_fract_x
_atom_site_fract_y
_atom_site_fract_z
Li1 Li 0.000 0.000 0.000
La1 La 0.250 0.250 0.250
La2 La 0.750 0.750 0.750
Cu1 Cu 0.500 0.500 0.500
```